VASP calculation (PBE-GGA) on a relaxed structure of AlTlTe2.

a b c (Å): 6.5457 7.5118 7.5256
angles (deg): 68.64 74.56 74.65
With the nearest neighbours (Å) after each atom.
Space group P1 (No. 1)
Symmetry-distinct sites (fractional):
Al 0.0000 0.0000 0.0000 (multiplicity 1)  4 Te 2.64-2.66
Al 0.4917 0.0075 0.0067 (multiplicity 1)  4 Te 2.64-2.66
Tl 0.5538 0.1521 0.4179 (multiplicity 1)  4 Te 3.33-3.60
Tl 0.9357 0.5909 0.8538 (multiplicity 1)  5 Te 3.34-3.72
Te 0.1286 0.1839 0.1809 (multiplicity 1)  2 Al 2.66
Te 0.3631 0.8242 0.8249 (multiplicity 1)  2 Al 2.66
Te 0.7449 0.7585 0.2488 (multiplicity 1)  2 Al 2.65-2.66
Te 0.7471 0.2464 0.7593 (multiplicity 1)  2 Al 2.64

E_tot ... -0.129 hartree per atom
ρ ... 5.0 g/cm³
Volume ... 326 Å³/cell
Formation energy from raw total energies ... -0.421 eV per atom